DFT (PBE) results for a relaxed Mg2NiHgPb crystal.

* E_tot: -13.0 eV per cell
* DFT formation energy: -0.1 eV per formula unit
* symmetry: P4/mmm, No. 123

a b c (Å): 5.0198 5.0198 4.8595
angles (deg): 90.00 90.00 90.00
With the nearest neighbours (Å) after each atom.
Element x y z (fractional)
Mg 0.0000 0.5000 0.0000  2 Ni 2.51
Mg 0.5000 0.0000 0.0000  2 Ni 2.51
Ni 0.0000 0.0000 0.0000  2 Pb 2.43, 4 Mg 2.51
Hg 0.5000 0.5000 0.5000  8 Mg 3.49, 4 Pb 3.55
Pb 0.0000 0.0000 0.5000  2 Ni 2.43